# GGA+U MnAg2GeF8, relaxed
# Calculated density = 4.34 g cm⁻³
# DFT total energy = -4.737 eV per atom
data_MnAg2GeF8
_cell_length_a 5.332
_cell_length_b 6.581
_cell_length_c 5.401
_cell_angle_alpha 90.00
_cell_angle_beta 92.58
_cell_angle_gamma 90.00
_space_group_name_H-M_alt 'P 1 2/m 1'
_space_group_IT_number 10
loop_
_space_group_symop_operation_xyz
'x,y,z'
'-x,-y,-z'
'-x,y,-z'
'x,-y,z'
loop_
_atom_site_label
_atom_site_type_symbol
_atom_site_fract_x
_atom_site_fract_y
_atom_site_fract_z
Mn1 Mn 0.000 0.000 0.000
Ag1 Ag 0.500 0.252 0.500
Ge1 Ge 0.000 0.500 0.000
F1 F 0.159 0.294 0.833
F2 F 0.254 0.500 0.236
F3 F 0.275 0.000 0.264